Material: Pa3SbN
Method: DFT, PBE
State: relaxed

For the raw formation energy, the calculation gives -0.82 eV per atom. The density is 12.88 g cm⁻³. Its density of states at the Fermi level is 7.5 states/eV per cell. The value obtained for the total DFT energy (no corrections) is -9.0097 eV per atom. The calculation puts the total magnetization at 0.0 μB per formula unit.

The space group is Pm-3m (No. 221) and the conventional cell measures 4.746, 4.746 and 4.746 Å, with angles of 90.00, 90.00 and 90.00 degrees. The inequivalent atoms are Pa at (0.000, 0.000, 0.500), Sb at (0.500, 0.500, 0.500) and N at (0.000, 0.000, 0.000).